# PBE CaHoAgCl6, relaxed
data_CaHoAgCl6
_chemical_formula_sum 'Ca2 Ho2 Ag2 Cl12'
_cell_length_a 6.907
_cell_length_b 6.907
_cell_length_c 12.100
_cell_angle_alpha 90.00
_cell_angle_beta 90.00
_cell_angle_gamma 120.00
_space_group_name_H-M_alt 'P 1'
_space_group_IT_number 1
loop_
_space_group_symop_operation_xyz
'x,y,z'
loop_
_atom_site_label
_atom_site_type_symbol
_atom_site_fract_x
_atom_site_fract_y
_atom_site_fract_z
Ca1 Ca 0.333 0.667 0.250
Ca2 Ca 0.667 0.333 0.750
Ho1 Ho 0.667 0.333 0.250
Ho2 Ho 0.333 0.667 0.750
Ag1 Ag 0.000 0.000 0.000
Ag2 Ag 0.000 0.000 0.500
Cl1 Cl 0.660 0.648 0.128
Cl2 Cl 0.988 0.340 0.128
Cl3 Cl 0.340 0.988 0.628
Cl4 Cl 0.012 0.660 0.872
Cl5 Cl 0.352 0.340 0.372
Cl6 Cl 0.988 0.648 0.372
Cl7 Cl 0.648 0.988 0.872
Cl8 Cl 0.660 0.012 0.372
Cl9 Cl 0.012 0.352 0.628
Cl10 Cl 0.352 0.012 0.128
Cl11 Cl 0.648 0.660 0.628
Cl12 Cl 0.340 0.352 0.872
# - Space-group type: No. 163
# - Energy: -75.1 eV/cell
# - E_form (uncorrected): -17.1 eV/f.u.
# - Spin magnetization: 0.00 μB/cell